Ba2AcVO6 after structural relaxation. Source: Alexandria via LeMat-Bulk, functional PBE with a Hubbard U.

Calculated values
**ρ**: 5.47 g/cm³
**Raw total energy**: -70.284 eV for the cell shown
**Total magnetic moment**: 0.000 Bohr magnetons per cell
**D(E_F)**: 0.000 states/eV/atom

CIF file:
```
data_Ba2AcVO6
_chemical_formula_sum 'Ba2 Ac1 V1 O6'
_cell_length_a 6.219
_cell_length_b 6.047
_cell_length_c 6.047
_cell_angle_alpha 120.00
_cell_angle_beta 90.00
_cell_angle_gamma 90.00
_symmetry_space_group_name_H-M 'P 1'
_symmetry_Int_Tables_number 1
loop_
_symmetry_equiv_pos_as_xyz
'x,y,z'
loop_
_atom_site_label
_atom_site_fract_x
_atom_site_fract_y
_atom_site_fract_z
Ba1 0.104 0.333 0.667
Ba2 0.896 0.667 0.333
Ac1 0.500 0.000 0.000
V1 0.000 0.000 0.000
O1 0.814 0.147 0.295
O2 0.814 0.147 0.853
O3 0.814 0.705 0.853
O4 0.186 0.853 0.147
O5 0.186 0.295 0.147
O6 0.186 0.853 0.705
```